Entry from the Alexandria database: a relaxed structure of Y2ReTcF (PBE).

**V**: 22.494 Å³/atom
**Total energy**: -35.07 eV/f.u.
**Total magnetization**: 0.433 μB per atom
**ΔE_f (raw)**: 2.54 eV/f.u.

Geometry as CIF:
```
data_Y2ReTcF
_symmetry_space_group_name_H-M 'P 4/m m m'
_symmetry_Int_Tables_number 123
_symmetry_space_group_name_Hall '-P 4 2'
_cell_length_a 5.372
_cell_length_b 5.372
_cell_length_c 3.898
_cell_angle_alpha 90.00
_cell_angle_beta 90.00
_cell_angle_gamma 90.00
loop_
_atom_site_label
_atom_site_type_symbol
_atom_site_fract_x
_atom_site_fract_y
_atom_site_fract_z
Y1 Y 0.000 0.500 0.000
Re1 Re 0.000 0.000 0.500
Tc1 Tc 0.500 0.500 0.000
F1 F 0.500 0.500 0.500
```



Entry from the Alexandria database: a relaxed structure of BaZr2Mo (PBE).

**V**: 23.476 Å³/atom
**Total energy**: -26.34 eV/f.u.
**Energy relative to the lowest polymorph listed for this composition**: 624 meV per atom
**Energy of formation from the pure elements**: 0.88 eV per atom
**Total magnetization**: 0.000 μB per atom

Geometry as CIF:
```
data_BaZr2Mo
_symmetry_space_group_name_H-M 'C m m m'
_symmetry_Int_Tables_number 65
_symmetry_space_group_name_Hall '-C 2 2'
_cell_length_a 6.554
_cell_length_b 7.897
_cell_length_c 3.628
_cell_angle_alpha 90.00
_cell_angle_beta 90.00
_cell_angle_gamma 90.00
loop_
_atom_site_label
_atom_site_type_symbol
_atom_site_fract_x
_atom_site_fract_y
_atom_site_fract_z
Ba1 Ba 0.000 0.000 0.000
Zr1 Zr 0.250 0.250 0.500
Mo1 Mo 0.000 0.500 0.000
```



Entry from the Alexandria database: a relaxed structure of Ac4Si2Au (PBE).

**V**: 32.480 Å³/atom
**Total energy**: -34.34 eV/f.u.
**Total magnetization**: 0.000 μB per atom
**ΔE_f (raw)**: -3.78 eV/f.u.

Geometry as CIF:
```
data_Ac4Si2Au
_symmetry_space_group_name_H-M 'I 21 21 21'
_symmetry_Int_Tables_number 24
_cell_length_a 9.571
_cell_length_b 9.572
_cell_length_c 9.927
_cell_angle_alpha 90.00
_cell_angle_beta 90.00
_cell_angle_gamma 90.00
loop_
_symmetry_equiv_pos_as_xyz
'x,y,z'
'-x,-y+1/2,z'
'x,-y,-z+1/2'
'-x,y+1/2,-z+1/2'
'x+1/2,y+1/2,z+1/2'
'-x+1/2,-y,z+1/2'
'x+1/2,-y+1/2,-z'
'-x+1/2,y,-z'
loop_
_atom_site_label
_atom_site_type_symbol
_atom_site_fract_x
_atom_site_fract_y
_atom_site_fract_z
Ac1 Ac 0.070 0.066 0.440
Ac2 Ac 0.184 0.320 0.809
Si1 Si 0.118 0.000 0.750
Si2 Si 0.250 0.368 0.500
Au1 Au 0.000 0.250 0.125
```



Entry from the Alexandria database: a relaxed structure of LiLaNi (PBE).

**V**: 24.396 Å³/atom
**Total energy**: -11.27 eV/f.u.
**Energy relative to the lowest polymorph listed for this composition**: 650 meV per atom
**Energy of formation from the pure elements**: 0.45 eV per atom
**Total magnetization**: 0.000 μB per atom

Geometry as CIF:
```
data_LiLaNi
_symmetry_space_group_name_H-M 'F -4 3 m'
_symmetry_Int_Tables_number 216
_symmetry_space_group_name_Hall 'F -4 2 3'
_cell_length_a 6.640
_cell_length_b 6.640
_cell_length_c 6.640
_cell_angle_alpha 90.00
_cell_angle_beta 90.00
_cell_angle_gamma 90.00
loop_
_atom_site_label
_atom_site_type_symbol
_atom_site_fract_x
_atom_site_fract_y
_atom_site_fract_z
Li1 Li 0.000 0.000 0.000
La1 La 0.250 0.250 0.250
Ni1 Ni 0.000 0.000 0.500
```



Entry from the Alexandria database: a relaxed structure of P2H12RhC4O4 (PBE).

**V**: 11.322 Å³/atom
**Total energy**: -128.98 eV/f.u.
**Total magnetization**: 0.000 μB per atom

Geometry as CIF:
```
data_P2H12RhC4O4
_symmetry_space_group_name_H-M 'C 1 2/c 1'
_symmetry_Int_Tables_number 15
_cell_length_a 18.437
_cell_length_b 11.826
_cell_length_c 9.650
_cell_angle_alpha 90.00
_cell_angle_beta 98.09
_cell_angle_gamma 90.00
loop_
_symmetry_equiv_pos_as_xyz
'x,y,z'
'-x,-y,-z'
'-x,y,-z+1/2'
'x,-y,z+1/2'
'x+1/2,y+1/2,z'
'-x+1/2,-y+1/2,-z'
'-x+1/2,y+1/2,-z+1/2'
'x+1/2,-y+1/2,z+1/2'
loop_
_atom_site_label
_atom_site_type_symbol
_atom_site_fract_x
_atom_site_fract_y
_atom_site_fract_z
P1 P 0.000 0.137 0.250
P2 P 0.000 0.347 0.750
P3 P 0.154 0.109 0.817
H1 H 0.048 0.500 0.403
H2 H 0.062 0.287 0.146
H3 H 0.091 0.275 0.333
H4 H 0.097 0.487 0.756
H5 H 0.112 0.387 0.897
H6 H 0.122 0.176 0.211
H7 H 0.177 0.062 0.448
H8 H 0.183 0.285 0.718
H9 H 0.243 0.044 0.329
H10 H 0.245 0.313 0.285
H11 H 0.246 0.258 0.875
H12 H 0.249 0.465 0.011
Rh1 Rh 0.006 0.107 0.624
C1 C 0.071 0.440 0.834
C2 C 0.077 0.228 0.234
C3 C 0.212 0.002 0.403
C4 C 0.216 0.221 0.779
O1 O 0.020 0.066 0.385
O2 O 0.033 0.279 0.637
O3 O 0.104 0.156 0.919
O4 O 0.115 0.061 0.677
```



Entry from the Alexandria database: a relaxed structure of CaSnPt (PBE).

**V**: 31.400 Å³/atom
**Total energy**: -13.70 eV/f.u.
**Energy of formation from the pure elements**: -0.55 eV per atom
**Total magnetization**: 0.000 μB per atom

Geometry as CIF:
```
data_CaSnPt
_symmetry_space_group_name_H-M 'I 41 m d'
_symmetry_Int_Tables_number 109
_symmetry_space_group_name_Hall 'I 4bw -2'
_cell_length_a 5.230
_cell_length_b 5.230
_cell_length_c 13.774
_cell_angle_alpha 90.00
_cell_angle_beta 90.00
_cell_angle_gamma 90.00
loop_
_atom_site_label
_atom_site_type_symbol
_atom_site_fract_x
_atom_site_fract_y
_atom_site_fract_z
Ca1 Ca 0.000 0.000 0.000
Sn1 Sn 0.000 0.000 0.413
Pt1 Pt 0.000 0.000 0.212
```



Entry from the Alexandria database: a relaxed structure of Ce5DyBi4 (PBE).

**V**: 34.968 Å³/atom
**Total energy**: -52.88 eV/f.u.
**Energy of formation from the pure elements**: -0.31 eV per atom
**Total magnetization**: 0.737 μB per atom

Geometry as CIF:
```
data_Ce5DyBi4
_symmetry_space_group_name_H-M 'P m m n'
_symmetry_Int_Tables_number 59
_cell_length_a 10.442
_cell_length_b 11.158
_cell_length_c 6.003
_cell_angle_alpha 90.00
_cell_angle_beta 90.00
_cell_angle_gamma 90.00
loop_
_symmetry_equiv_pos_as_xyz
'x,y,z'
'-x,-y,-z'
'-x+1/2,-y+1/2,z'
'x+1/2,y+1/2,-z'
'x+1/2,-y,-z'
'-x+1/2,y,z'
'-x,y+1/2,-z'
'x,-y+1/2,z'
loop_
_atom_site_label
_atom_site_type_symbol
_atom_site_fract_x
_atom_site_fract_y
_atom_site_fract_z
Ce1 Ce 0.000 0.000 0.232
Ce2 Ce 0.250 0.250 0.500
Dy1 Dy 0.250 0.750 0.000
Bi1 Bi 0.072 0.250 0.001
Bi2 Bi 0.250 0.585 0.499
```



Entry from the Alexandria database: a relaxed structure of YBiOs2Cl (PBE).

**V**: 21.642 Å³/atom
**Total energy**: -28.83 eV/f.u.
**Total magnetization**: 0.000 μB per atom
**ΔE_f (raw)**: 5.82 eV/f.u.

Geometry as CIF:
```
data_YBiOs2Cl
_symmetry_space_group_name_H-M 'P 4/m m m'
_symmetry_Int_Tables_number 123
_symmetry_space_group_name_Hall '-P 4 2'
_cell_length_a 4.459
_cell_length_b 4.459
_cell_length_c 5.444
_cell_angle_alpha 90.00
_cell_angle_beta 90.00
_cell_angle_gamma 90.00
loop_
_atom_site_label
_atom_site_type_symbol
_atom_site_fract_x
_atom_site_fract_y
_atom_site_fract_z
Y1 Y 0.000 0.000 0.000
Bi1 Bi 0.500 0.500 0.000
Os1 Os 0.000 0.500 0.500
Cl1 Cl 0.500 0.500 0.500
```



Entry from the Alexandria database: a relaxed structure of PmHoHg2 (PBE).

**V**: 28.889 Å³/atom
**Total energy**: -11.21 eV/f.u.
**Energy relative to the lowest polymorph listed for this composition**: 159 meV per atom
**Energy of formation from the pure elements**: -0.32 eV per atom
**Total magnetization**: 0.000 μB per atom

Geometry as CIF:
```
data_PmHoHg2
_symmetry_space_group_name_H-M 'R 3 m'
_symmetry_Int_Tables_number 160
_symmetry_space_group_name_Hall 'R 3 -2"'
_cell_length_a 3.8214
_cell_length_b 3.8214
_cell_length_c 27.4127
_cell_angle_alpha 90.00
_cell_angle_beta 90.00
_cell_angle_gamma 120.00
loop_
_atom_site_label
_atom_site_type_symbol
_atom_site_fract_x
_atom_site_fract_y
_atom_site_fract_z
Pm1 Pm 0.0000 0.0000 0.0000
Ho1 Ho 0.0000 0.0000 0.8337
Hg1 Hg 0.0000 0.0000 0.4194
Hg2 Hg 0.0000 0.0000 0.5810
```



Entry from the Alexandria database: a relaxed structure of AcLa2Al2 (PBE).

**V**: 32.460 Å³/atom
**Total energy**: -22.37 eV/f.u.
**Energy relative to the lowest polymorph listed for this composition**: 0 meV per atom
**Energy of formation from the pure elements**: -0.18 eV per atom
**Total magnetization**: 0.000 μB per atom

Geometry as CIF:
```
data_AcLa2Al2
_symmetry_space_group_name_H-M 'C 1 2/m 1'
_symmetry_Int_Tables_number 12
_cell_length_a 12.575
_cell_length_b 4.265
_cell_length_c 6.144
_cell_angle_alpha 90.00
_cell_angle_beta 99.91
_cell_angle_gamma 90.00
loop_
_symmetry_equiv_pos_as_xyz
'x,y,z'
'-x,-y,-z'
'-x,y,-z'
'x,-y,z'
'x+1/2,y+1/2,z'
'-x+1/2,-y+1/2,-z'
'-x+1/2,y+1/2,-z'
'x+1/2,-y+1/2,z'
loop_
_atom_site_label
_atom_site_type_symbol
_atom_site_fract_x
_atom_site_fract_y
_atom_site_fract_z
Ac1 Ac 0.000 0.000 0.000
La1 La 0.135 0.500 0.568
Al1 Al 0.223 0.500 0.105
```



> Among the records above, which one has the lowest V?

P2H12RhC4O4



> Which value of V does entry 10 give?

32.460 Å³/atom



> Look up the total energy of the first one.

-35.07 eV/f.u.